1.
This record from Alexandria describes a geometry-optimized Na4Er3TiSe8 structure. The functional is PBE.

abc: 8.0721 8.0721 21.0015
angles: 90.00 90.00 120.00
Space group R-3m (No. 166, hexagonal axes)
Inequivalent atoms, fractional coordinates:
Na: 0.0000 0.0000 0.0000 (multiplicity 3)
Na: 0.0000 0.5000 0.0000 (multiplicity 9)
Er: 0.0000 0.5000 0.5000 (multiplicity 9)
Ti: 0.0000 0.0000 0.5000 (multiplicity 3)
Se: 0.0000 0.0000 0.2435 (multiplicity 6)
Se: 0.0156 0.5078 0.2405 (multiplicity 18)

Results
* VASP energy: -4.96 eV/atom
* DOS at the Fermi energy: 16.461 states/eV per cell
* uncorrected formation energy: -1.54 eV/atom

2.
This record from Alexandria describes a geometry-optimized Na2ErTiSe4 structure. The functional is PBE.

abc: 6.852 3.939 7.375
angles: 90.00 108.02 90.00
Space group P2/m (No. 10)
Inequivalent atoms, fractional coordinates:
Na: 0.000 0.000 0.000 (multiplicity 1)
Na: 0.500 0.500 0.000 (multiplicity 1)
Er: 0.000 0.500 0.500 (multiplicity 1)
Ti: 0.500 0.000 0.500 (multiplicity 1)
Se: 0.257 0.000 0.725 (multiplicity 2)
Se: 0.277 0.500 0.285 (multiplicity 2)

Results
* VASP energy: -5.03 eV/atom
* DOS at the Fermi energy: 3.925 states/eV per cell
* uncorrected formation energy: -1.40 eV/atom